## RuSe (PBE)

Data for RuSe after structural relaxation.

```
RuSe
1.0
4.882 -0.005 0.010
4.059 4.376 0.013
0.984 0.183 2.944
Ru Se
2 2
Cartesian
5.128 4.407 2.938
7.497 2.838 2.244
5.000 2.302 1.470
2.582 0.384 0.755
```

Output
The space group is C2/m, No. 12. The formation energy from raw total energies is 17 kJ per mole of atoms. As for the raw total energy: -6.2003 eV/atom.